Entry 1:
Below is a relaxed RbB2Pt2 crystal, with properties calculated at the PBE-GGA level.

Results
- ρ: 7.16 Mg/m³
- Magnetic moment: 0.00 Bohr magnetons per cell
- Calculated formation energy: 0.1 eV/f.u.
- Total DFT energy (no corrections): -5.261 eV/atom

Cell: 4.2792 4.2792 12.5997 Å, 90.00 90.00 90.00°
Closest atoms and distances in Å follow each position.
Space group I4/mmm (No. 139)
Unique sites:
Rb (0.0000, 0.0000, 0.0000) x2  2 Pt 3.30
B (0.0000, 0.5000, 0.2500) x4  4 Pt 2.14
Pt (0.0000, 0.0000, 0.2616) x4  4 B 2.14

Entry 2:
Below is a relaxed RbBPt2 crystal, with properties calculated at the PBE-GGA level.

Results
- ρ: 8.33 Mg/m³
- Magnetic moment: 0.00 Bohr magnetons per cell
- Calculated formation energy: -0.9 eV/f.u.
- Total DFT energy (no corrections): -5.159 eV/atom

Cell: 3.0826 10.3127 6.1019 Å, 90.00 90.49 90.00°
Closest atoms and distances in Å follow each position.
Space group P2_1/m (No. 11)
Unique sites:
Rb (0.1960, 0.2500, 0.4946) x2  2 B 3.05, 2 Rb 3.08
B (0.1932, 0.2500, 0.9947) x2  4 Pt 2.05-2.09
Pt (0.3151, 0.6161, 0.0040) x4  2 B 2.05-2.09

Entry 3:
Below is a relaxed RbB2Pt2 crystal, with properties calculated at the PBE-GGA level.

Results
- ρ: 7.59 Mg/m³
- Magnetic moment: 0.00 Bohr magnetons per cell
- Calculated formation energy: 0.2 eV/f.u.
- Total DFT energy (no corrections): -5.247 eV/atom

Cell: 6.4631 6.4631 10.4207 Å, 90.00 90.00 90.00°
Closest atoms and distances in Å follow each position.
Space group I4_1md (No. 109)
Unique sites:
Rb (0.0000, 0.0000, 0.0000) x4  2 B 3.31, 4 Pt 3.69
B (0.0000, 0.3637, 0.7760) x8  1 B 1.76
Pt (0.0000, 0.2706, 0.5931) x8  3 B 2.00-2.08

Entry 4:
Below is a relaxed RbBPt crystal, with properties calculated at the PBE-GGA level.

Results
- ρ: 5.10 Mg/m³
- Magnetic moment: 0.00 Bohr magnetons per cell
- Calculated formation energy: 0.0 eV/f.u.
- Total DFT energy (no corrections): -4.578 eV/atom

Cell: 20.8608 3.4978 5.2037 Å, 90.00 90.00 90.00°
Closest atoms and distances in Å follow each position.
Space group C2/m (No. 12)
Unique sites:
Rb (0.1439, 0.0000, 0.2472) x4  1 B 3.12
B (0.0058, 0.0000, 0.7499) x4  4 Pt 2.18
Pt (0.0000, 0.5000, 0.0000) x2  4 B 2.18
Pt (0.0000, 0.5000, 0.5000) x2  4 B 2.18

Entry 5:
Below is a relaxed RbB2Pt4 crystal, with properties calculated at the PBE-GGA level.

Results
- ρ: 9.74 Mg/m³
- Magnetic moment: 0.00 Bohr magnetons per cell
- Calculated formation energy: 9.9 eV/f.u.
- Total DFT energy (no corrections): -4.086 eV/atom

Cell: 5.0198 5.0198 12.0064 Å, 90.00 90.00 90.00°
Closest atoms and distances in Å follow each position.
Space group I4/mmm (No. 139)
Unique sites:
Rb (0.0000, 0.0000, 0.0000) x2  4 Pt 2.51
B (0.0000, 0.0000, 0.4327) x4  1 B 1.62
Pt (0.0000, 0.0000, 0.2756) x4  1 B 1.89
Pt (0.0000, 0.5000, 0.0000) x4  2 Rb 2.51, 4 B 2.64

Entry 6:
Below is a relaxed RbB4Pt4 crystal, with properties calculated at the PBE-GGA level.

Results
- ρ: 11.66 Mg/m³
- Magnetic moment: 0.00 Bohr magnetons per cell
- Calculated formation energy: -1.5 eV/f.u.
- Total DFT energy (no corrections): -5.929 eV/atom

Cell: 8.6955 8.6955 3.4242 Å, 90.00 90.00 90.00°
Closest atoms and distances in Å follow each position.
Space group I4/m (No. 87)
Unique sites:
Rb (0.0000, 0.0000, 0.0000) x2  12 B 3.35-3.37, 2 Rb 3.42, 8 Pt 3.46
B (0.1853, 0.2739, 0.5000) x8  2 B 2.09, 3 Pt 2.11-2.13
Pt (0.0828, 0.6646, 0.5000) x8  3 B 2.11-2.13

Entry 7:
Below is a relaxed RbBPt crystal, with properties calculated at the PBE-GGA level.

Results
- ρ: 7.46 Mg/m³
- Magnetic moment: 0.00 Bohr magnetons per cell
- Calculated formation energy: -0.1 eV/f.u.
- Total DFT energy (no corrections): -4.595 eV/atom

Cell: 3.6117 3.6117 5.7418 Å, 90.00 90.00 120.00°
Closest atoms and distances in Å follow each position.
Space group P-6m2 (No. 187)
Unique sites:
Rb (0.0000, 0.0000, 0.0000) x1  6 B 3.55, 6 Pt 3.55, 6 Rb 3.61
B (0.3333, 0.6667, 0.5000) x1  3 Pt 2.09
Pt (0.6667, 0.3333, 0.5000) x1  3 B 2.09

Entry 8:
Below is a relaxed Rb2B7Pt12 crystal, with properties calculated at the PBE-GGA level.

Results
- ρ: 11.00 Mg/m³
- Magnetic moment: 0.00 Bohr magnetons per cell
- Calculated formation energy: -1.6 eV/f.u.
- Total DFT energy (no corrections): -5.848 eV/atom

Cell: 5.5701 8.9989 8.9991 Å, 60.00 89.97 89.95°
Closest atoms and distances in Å follow each position.
Space group P-1 (No. 2)
Unique sites:
Rb (0.0285, 0.3333, 0.3333) x2  6 Pt 3.19-3.21
B (0.5000, 0.0000, 0.0000) x1  6 Pt 2.15
B (0.5003, 0.0869, 0.2741) x2  4 Pt 2.09-2.24
B (0.5003, 0.2741, 0.6389) x2  4 Pt 2.09-2.24
B (0.4999, 0.3610, 0.9131) x2  4 Pt 2.09-2.24
Pt (0.2480, 0.2032, 0.8549) x2  3 B 2.15-2.24
Pt (0.2477, 0.8550, 0.9421) x2  3 B 2.15-2.24
Pt (0.2479, 0.9423, 0.2030) x2  3 B 2.15-2.24
Pt (0.4704, 0.5025, 0.6464) x2  2 B 2.09-2.10
Pt (0.4702, 0.6464, 0.8511) x2  2 B 2.09-2.10
Pt (0.4703, 0.8511, 0.5025) x2  2 B 2.09-2.10

Entry 9:
Below is a relaxed Rb2BPt crystal, with properties calculated at the PBE-GGA level.

Results
- ρ: 5.18 Mg/m³
- Magnetic moment: 3.58 Bohr magnetons per cell
- Calculated formation energy: 5.7 eV/f.u.
- Total DFT energy (no corrections): -2.227 eV/atom

Cell: 4.7499 4.7499 21.3963 Å, 90.00 90.00 90.00°
Closest atoms and distances in Å follow each position.
Space group I-42d (No. 122)
Unique sites:
Rb (0.2439, 0.2500, 0.1250) x8  2 B 3.15, 2 Pt 3.17, 4 Rb 3.32-3.40
B (0.0000, 0.0000, 0.0000) x4  4 Rb 3.15, 4 Pt 3.36
Pt (0.0000, 0.0000, 0.5000) x4  4 Rb 3.17, 4 B 3.36

Entry 10:
Below is a relaxed RbBPt2 crystal, with properties calculated at the PBE-GGA level.

Results
- ρ: 10.22 Mg/m³
- Magnetic moment: 0.00 Bohr magnetons per cell
- Calculated formation energy: 0.2 eV/f.u.
- Total DFT energy (no corrections): -4.878 eV/atom

Cell: 3.4094 3.4094 23.5516 Å, 90.00 90.00 120.00°
Closest atoms and distances in Å follow each position.
Space group R-3m (No. 166, hexagonal axes)
Unique sites:
Rb (0.0000, 0.0000, 0.0000) x3  6 Rb 3.41, 6 Pt 3.53
B (0.0000, 0.0000, 0.5000) x3  6 Pt 2.21
Pt (0.0000, 0.0000, 0.2091) x6  3 B 2.21

Entry 11:
Below is a relaxed RbBPt2 crystal, with properties calculated at the PBE-GGA level.

Results
- ρ: 8.54 Mg/m³
- Magnetic moment: 0.00 Bohr magnetons per cell
- Calculated formation energy: -0.3 eV/f.u.
- Total DFT energy (no corrections): -5.000 eV/atom

Cell: 5.4953 5.4953 12.5336 Å, 90.00 90.00 90.00°
Closest atoms and distances in Å follow each position.
Space group I4_1/amd (No. 141, origin choice 2)
Unique sites:
Rb (0.0000, 0.2500, 0.3750) x4  8 Pt 3.45
B (0.0000, 0.2500, 0.8750) x4  4 Pt 2.08
Pt (0.0000, 0.0000, 0.0000) x8  2 B 2.08

Entry 12:
Below is a relaxed RbBPt crystal, with properties calculated at the PBE-GGA level.

Results
- ρ: 6.14 Mg/m³
- Magnetic moment: 0.00 Bohr magnetons per cell
- Calculated formation energy: 0.1 eV/f.u.
- Total DFT energy (no corrections): -4.541 eV/atom

Cell: 13.8437 3.7205 6.4828 Å, 90.00 109.17 90.00°
Closest atoms and distances in Å follow each position.
Space group C2/m (No. 12)
Unique sites:
Rb (0.1016, 0.0000, 0.3047) x4  2 B 3.36-3.75, 2 Pt 3.71, 2 Rb 3.72
B (0.2130, 0.0000, 0.9162) x4  3 Pt 2.05-2.07, 2 B 2.23
Pt (0.1510, 0.5000, 0.8244) x4  3 B 2.05-2.07